ZrPCl2 | PBE | relaxed

Cell: 3.0688 3.0688 10.1759 Å, 90.00 90.00 90.00°
Atoms (fractional coordinates):
Zr: 0.0000 0.0000 0.0000
P: 0.0000 0.0000 0.5000
Cl: 0.5000 0.5000 0.1567
Cl: 0.5000 0.5000 0.8433

* calculated density: 3.35 g/cm³
* excess energy over the best structure of this formula in the dataset: 591.5 meV per atom
* uncorrected formation energy: -0.442 eV/atom
* total energy: -19.4 eV for the cell shown